DFT (GGA-PBE) results for a relaxed CaPdO crystal.

POSCAR file:
```
CaPdO
1.0
3.964 0.000 0.000
-1.982 3.433 0.000
0.000 0.000 8.372
Ca Pd O
2 2 2
direct
0.333 0.667 0.250
0.667 0.333 0.750
0.000 0.000 0.000
0.000 0.000 0.500
0.000 0.000 0.250
0.000 0.000 0.750
```

Values from the calculation:
- symmetry = P6_3/mmc, No. 194
- raw total energy (eV for the cell shown) = -33.074
- formation energy (no corrections) (eV/atom) = -1.462